First-principles (GGA+U) data for a relaxed VMoO5 crystal, as listed in Alexandria via LeMat-Bulk.

Structure (CIF):
```
data_VMoO5
_chemical_formula_sum 'V4 Mo4 O20'
_cell_length_a 5.547
_cell_length_b 6.967
_cell_length_c 12.108
_cell_angle_alpha 90.00
_cell_angle_beta 90.00
_cell_angle_gamma 90.00
_space_group_name_H-M_alt 'P 1'
_space_group_IT_number 1
loop_
_space_group_symop_operation_xyz
'x,y,z'
loop_
_atom_site_label
_atom_site_type_symbol
_atom_site_fract_x
_atom_site_fract_y
_atom_site_fract_z
V1 V 0.750 0.360 0.949
V2 V 0.250 0.640 0.051
V3 V 0.750 0.140 0.449
V4 V 0.250 0.860 0.551
Mo1 Mo 0.750 0.965 0.156
Mo2 Mo 0.250 0.035 0.844
Mo3 Mo 0.750 0.535 0.656
Mo4 Mo 0.250 0.465 0.344
O1 O 0.750 0.311 0.584
O2 O 0.250 0.689 0.416
O3 O 0.750 0.189 0.084
O4 O 0.250 0.811 0.916
O5 O 0.750 0.004 0.303
O6 O 0.250 0.996 0.697
O7 O 0.750 0.496 0.803
O8 O 0.250 0.504 0.197
O9 O 0.512 0.331 0.381
O10 O 0.012 0.669 0.619
O11 O 0.488 0.669 0.619
O12 O 0.988 0.331 0.381
O13 O 0.488 0.831 0.119
O14 O 0.988 0.169 0.881
O15 O 0.512 0.169 0.881
O16 O 0.012 0.831 0.119
O17 O 0.500 0.000 0.500
O18 O 0.000 0.000 0.500
O19 O 0.500 0.500 0.000
O20 O 0.000 0.500 0.000
```

M_tot	4.000	Bohr magnetons per cell
final energy	-205.61	eV per cell